# Cs6BaO4

An optimized crystal structure of Cs6BaO4 (PBE-GGA, Alexandria via LeMat-Bulk).

Values from the calculation:
SG: P6_3mc
ΔE_f (raw): -1196 meV/atom

Lattice parameters (Å, degrees): 7.3298 10.2438 10.2438 120.00 90.00 90.00
Sites, in units of the cell vectors:
Cs 0.4773 0.7325 0.8663
Cs 0.4773 0.1337 0.2675
Cs 0.4773 0.1337 0.8663
Cs 0.9773 0.2675 0.1337
Cs 0.9773 0.8663 0.7325
Cs 0.9773 0.8663 0.1337
Cs 0.6400 0.9171 0.4585
Cs 0.6400 0.5415 0.0829
Cs 0.6400 0.5415 0.4585
Cs 0.1400 0.0829 0.5415
Cs 0.1400 0.4585 0.9171
Cs 0.1400 0.4585 0.5415
Ba 0.7271 0.3333 0.6667
Ba 0.2271 0.6667 0.3333
O 0.3830 0.3333 0.6667
O 0.8830 0.6667 0.3333
O 0.8434 0.6135 0.8067
O 0.8434 0.1933 0.3865
O 0.8434 0.1933 0.8067
O 0.3434 0.3865 0.1933
O 0.3434 0.8067 0.6135
O 0.3434 0.8067 0.1933